{
  "formula": "Zr3Tc",
  "functional": "GGA-PBE",
  "state": "relaxed",
  "spacegroup": "Pmmm (47)",
  "energy_ev_per_atom": -8.945,
  "magnetic_moment_mub_per_cell": 0.00,
  "vol_a3_per_cell": 81.39,
  "n_ef_per_ev_fu": 3.17,
  "delta_e_f_kcal_per_mol_atoms": 1.330,
  "cell": [[3.270, 0.000, 0.000], [0.000, 4.520, 0.000], [0.000, 0.000, 5.507]],
  "species": ["Zr", "Zr", "Zr", "Tc"],
  "frac_coords": [[0.000, 0.000, 0.000], [0.500, 0.500, 0.267], [0.500, 0.500, 0.733], [0.000, 0.000, 0.500]]
}